## a
Entry from Alexandria: a relaxed TiTcF2 crystal (GGA-PBE).

Cell lengths 2.7737, 2.7737, 27.5464 Å; angles 90.00, 90.00, 120.00 degrees
Last column: nearest neighbours and their distance in Å.
Fractional coordinates of all 12 atoms:
Ti (0.0000, 0.0000, 0.0000)  2 F 1.82
Ti (0.3333, 0.6667, 0.6667)  2 F 1.82
Ti (0.6667, 0.3333, 0.3333)  2 F 1.82
Tc (0.0000, 0.0000, 0.5000)  6 Tc 2.77
Tc (0.3333, 0.6667, 0.1667)  6 Tc 2.77
Tc (0.6667, 0.3333, 0.8333)  6 Tc 2.77
F (0.0000, 0.0000, 0.0660)  1 Ti 1.82
F (0.0000, 0.0000, 0.9340)  1 Ti 1.82
F (0.3333, 0.6667, 0.6007)  1 Ti 1.82
F (0.3333, 0.6667, 0.7326)  1 Ti 1.82
F (0.6667, 0.3333, 0.2674)  1 Ti 1.82
F (0.6667, 0.3333, 0.3993)  1 Ti 1.82



## b
Entry from Alexandria: a relaxed TiTcF2 crystal (GGA-PBE).

Cell lengths 2.7074, 2.7074, 22.4514 Å; angles 90.00, 90.00, 120.00 degrees
Last column: nearest neighbours and their distance in Å.
Fractional coordinates of all 12 atoms:
Ti (0.0000, 0.0000, 0.0000)  6 F 2.18
Ti (0.3333, 0.6667, 0.6667)  6 F 2.18
Ti (0.6667, 0.3333, 0.3333)  6 F 2.18
Tc (0.0000, 0.0000, 0.5000)  2 F 2.22
Tc (0.3333, 0.6667, 0.1667)  2 F 2.22
Tc (0.6667, 0.3333, 0.8333)  2 F 2.22
F (0.0000, 0.0000, 0.4012)  3 Ti 2.18, 1 Tc 2.22
F (0.0000, 0.0000, 0.5988)  3 Ti 2.18, 1 Tc 2.22
F (0.3333, 0.6667, 0.0678)  3 Ti 2.18, 1 Tc 2.22
F (0.3333, 0.6667, 0.2655)  3 Ti 2.18, 1 Tc 2.22
F (0.6667, 0.3333, 0.7345)  3 Ti 2.18, 1 Tc 2.22
F (0.6667, 0.3333, 0.9322)  3 Ti 2.18, 1 Tc 2.22



Name the least stable of them. a.



## a
Entry from Alexandria: a relaxed TiTcF3 crystal (GGA-PBE).

Cell lengths 4.1260, 4.1260, 4.1260 Å; angles 90.00, 90.00, 90.00 degrees
Last column: nearest neighbours and their distance in Å.
Fractional coordinates of all 5 atoms:
Ti (0.0000, 0.0000, 0.0000)  6 F 2.06
Tc (0.5000, 0.5000, 0.5000)  12 F 2.92
F (0.0000, 0.0000, 0.5000)  2 Ti 2.06
F (0.0000, 0.5000, 0.0000)  2 Ti 2.06
F (0.5000, 0.0000, 0.0000)  2 Ti 2.06



## b
Entry from Alexandria: a relaxed TiTcF3 crystal (GGA-PBE).

Cell lengths 4.1727, 4.1727, 4.1727 Å; angles 90.00, 90.00, 90.00 degrees
Last column: nearest neighbours and their distance in Å.
Fractional coordinates of all 5 atoms:
Ti (0.0000, 0.0000, 0.0000)  12 F 2.95
Tc (0.5000, 0.5000, 0.5000)  6 F 2.09
F (0.0000, 0.5000, 0.5000)  2 Tc 2.09
F (0.5000, 0.0000, 0.5000)  2 Tc 2.09
F (0.5000, 0.5000, 0.0000)  2 Tc 2.09



Name the least stable of them. b.



## a
Entry from Alexandria: a relaxed TlTcF3 crystal (GGA-PBE).

Cell lengths 7.8111, 7.8111, 4.1432 Å; angles 101.44, 101.44, 51.38 degrees
Last column: nearest neighbours and their distance in Å.
Fractional coordinates of all 10 atoms:
Tl (0.1697, 0.1697, 0.2244)  8 F 2.85-2.97
Tl (0.8303, 0.8303, 0.7756)  8 F 2.85-2.97
Tc (0.4535, 0.4535, 0.2478)  4 F 2.02-2.12, 1 Tc 2.21
Tc (0.5465, 0.5465, 0.7522)  4 F 2.02-2.12, 1 Tc 2.21
F (0.1452, 0.5703, 0.3035)  1 Tc 2.02
F (0.2573, 0.7427, 0.0000)  2 Tc 2.12
F (0.4297, 0.8548, 0.6965)  1 Tc 2.02
F (0.5703, 0.1452, 0.3035)  1 Tc 2.02
F (0.7427, 0.2573, 0.0000)  2 Tc 2.12
F (0.8548, 0.4297, 0.6965)  1 Tc 2.02



## b
Entry from Alexandria: a relaxed TlTcF3 crystal (GGA-PBE).

Cell lengths 4.4311, 4.4311, 4.4311 Å; angles 90.00, 90.00, 90.00 degrees
Last column: nearest neighbours and their distance in Å.
Fractional coordinates of all 5 atoms:
Tl (0.0000, 0.0000, 0.0000)  12 F 3.13
Tc (0.5000, 0.5000, 0.5000)  6 F 2.22
F (0.0000, 0.5000, 0.5000)  2 Tc 2.22
F (0.5000, 0.0000, 0.5000)  2 Tc 2.22
F (0.5000, 0.5000, 0.0000)  2 Tc 2.22



## c
Entry from Alexandria: a relaxed TlTcF3 crystal (GGA-PBE).

Cell lengths 4.6524, 4.6524, 4.6524 Å; angles 90.00, 90.00, 90.00 degrees
Last column: nearest neighbours and their distance in Å.
Fractional coordinates of all 5 atoms:
Tl (0.0000, 0.0000, 0.0000)  6 F 2.33
Tc (0.5000, 0.5000, 0.5000)  12 F 3.29
F (0.0000, 0.0000, 0.5000)  2 Tl 2.33
F (0.0000, 0.5000, 0.0000)  2 Tl 2.33
F (0.5000, 0.0000, 0.0000)  2 Tl 2.33



Name the least stable of them. c.